Density functional theory data (PBE) for a relaxed BeCd2Hg2 crystal.

Cell and atoms, written as extended XYZ:
```
10
Lattice="6.8878 0.0000 0.0000 0.0000 6.8878 0.0000 0.0000 0.0000 4.7781" Properties=species:S:1:pos:R:3 pbc="T T T"
Be 0.0000 0.0000 0.0000
Be 3.4439 3.4439 0.0000
Cd 1.1543 2.2896 0.0000
Cd 2.2896 5.7335 0.0000
Cd 4.5982 1.1543 0.0000
Cd 5.7335 4.5982 0.0000
Hg 1.0712 4.5151 2.3891
Hg 2.3727 1.0712 2.3891
Hg 4.5151 5.8166 2.3891
Hg 5.8166 2.3727 2.3891
```

Computed properties:
Its calculated volume is 227 Å³ per cell. The crystal system is tetragonal. The calculation puts the formation energy at 0.36 eV/atom.

---

Density functional theory data (PBE) for a relaxed La3Sm2Au2 crystal.

Cell and atoms, written as extended XYZ:
```
7
Lattice="3.9235 0.0000 0.0000 1.9579 6.4332 0.0000 1.9601 2.5712 8.6713" Properties=species:S:1:pos:R:3 pbc="T T T"
La 0.0000 0.0000 0.0000
La 1.9539 2.8751 4.8306
La 5.8876 6.1293 3.8407
Sm 3.9218 5.3317 7.0723
Sm 3.9197 3.6727 1.5990
Au 1.9637 1.2951 1.9555
Au 5.8779 7.7093 6.7159
```

Computed properties:
Its calculated volume is 219 Å³ per cell. The crystal system is triclinic. The calculation puts the formation energy at -0.46 eV/atom.